# 1
Below is a geometry-optimized Ca2ScMo structure, with properties calculated at the PBE-GGA level.

a = 5.3178 Å, b = 5.3178 Å, c = 5.3178 Å
α = 60.00°, β = 60.00°, γ = 60.00°
Last column: nearest neighbours and their distance in Å.
Fractional coordinates of all 4 atoms:
Mo 0.5000 0.5000 0.5000  8 Ca 3.26
Ca 0.2500 0.2500 0.2500  4 Mo 3.26, 4 Sc 3.26
Ca 0.7500 0.7500 0.7500  4 Mo 3.26, 4 Sc 3.26
Sc 0.0000 0.0000 0.0000  8 Ca 3.26

Results
Fermi-level density of states in states/eV/cell: 6.24
E_tot in eV for the cell shown: -18.2
Crystal system: cubic
Formation enthalpy at 0 K in kJ/mol of atoms: 71.7
Energy relative to the lowest polymorph listed for this composition in eV/f.u.: 1.61



# 2
Below is a geometry-optimized AlOsPt2 structure, with properties calculated at the PBE-GGA level.

a = 6.1169 Å, b = 4.7764 Å, c = 2.7649 Å
α = 89.96°, β = 63.19°, γ = 120.65°
Last column: nearest neighbours and their distance in Å.
Fractional coordinates of all 4 atoms:
Pt 0.5000 0.0000 0.5000  4 Pt 2.73-2.76, 4 Al 2.76, 4 Os 2.76
Pt 0.0000 0.0000 0.0000  4 Pt 2.73-2.76, 4 Os 2.76, 4 Al 2.76
Al 0.0000 0.5000 0.5000  2 Os 2.73, 8 Pt 2.76, 2 Al 2.76
Os 0.5000 0.5000 0.0000  2 Al 2.73, 8 Pt 2.76, 2 Os 2.76

Results
Fermi-level density of states in states/eV/cell: 2.63
E_tot in eV for the cell shown: -28.4
Crystal system: orthorhombic
Formation enthalpy at 0 K in kJ/mol of atoms: -33.0



# 3
Below is a geometry-optimized SrAg4 structure, with properties calculated at the PBE-GGA level.

a = 5.7865 Å, b = 5.7865 Å, c = 5.7865 Å
α = 90.00°, β = 90.00°, γ = 90.00°
Last column: nearest neighbours and their distance in Å.
Fractional coordinates of all 5 atoms:
Sr 0.5000 0.5000 0.5000  6 Ag 2.89
Ag 0.5000 0.0000 0.5000  2 Sr 2.89
Ag 0.5000 0.5000 0.0000  2 Sr 2.89
Ag 0.0000 0.0000 0.0000  12 Ag 4.09
Ag 0.0000 0.5000 0.5000  2 Sr 2.89

Results
Fermi-level density of states in states/eV/cell: 4.15
E_tot in eV for the cell shown: -7.9
Crystal system: cubic
Formation enthalpy at 0 K in kJ/mol of atoms: 100.6



# 4
Below is a geometry-optimized BaNa7In5 structure, with properties calculated at the PBE-GGA level.

a = 6.4568 Å, b = 8.5010 Å, c = 8.5010 Å
α = 80.76°, β = 67.68°, γ = 67.68°
Last column: nearest neighbours and their distance in Å.
Fractional coordinates of all 13 atoms:
In 0.7119 0.7881 0.7881  4 In 3.17, 4 Na 3.34-3.55
In 0.0028 0.9964 0.5114  3 In 3.14-3.32, 7 Na 3.24-3.47
Na 0.6690 0.3310 0.3310  4 In 3.40, 5 Na 3.45-3.70
Na 0.9907 0.6608 0.3577  4 Na 3.34-3.63, 5 In 3.36-3.55
In 0.4894 0.5114 0.9964  3 In 3.14-3.32, 7 Na 3.24-3.47
In 0.0028 0.5114 0.9964  3 In 3.14-3.32, 7 Na 3.24-3.47
Na 0.4995 0.2124 0.7885  5 In 3.24-3.34, 4 Na 3.41-3.57
Na 0.4995 0.7885 0.2124  5 In 3.24-3.34, 4 Na 3.41-3.57
In 0.4894 0.9964 0.5114  3 In 3.14-3.32, 7 Na 3.24-3.47
Na 0.9907 0.3577 0.6608  4 Na 3.34-3.63, 5 In 3.36-3.55
Na 0.2781 0.2219 0.2219  4 In 3.26, 6 Na 3.41-3.63
Na 0.3543 0.6457 0.6457  6 In 3.33-3.60, 3 Na 3.53-3.57
Ba 0.0218 0.9782 0.9782  8 Na 3.73-3.99, 6 In 3.87-3.99

Results
Fermi-level density of states in states/eV/cell: 4.74
E_tot in eV for the cell shown: -26.7
Crystal system: orthorhombic
Formation enthalpy at 0 K in kJ/mol of atoms: -13.9



# 5
Below is a geometry-optimized Zr5ScAl3 structure, with properties calculated at the PBE-GGA level.

a = 5.9502 Å, b = 8.4971 Å, c = 8.4972 Å
α = 120.00°, β = 90.00°, γ = 90.00°
Last column: nearest neighbours and their distance in Å.
Fractional coordinates of all 18 atoms:
Zr 0.0000 0.6667 0.3334  8 Zr 2.98-3.21, 6 Al 3.19
Al 0.2500 0.6632 0.6632  5 Zr 2.82-2.98
Al 0.2500 0.0000 0.3368  5 Zr 2.82-2.98
Al 0.7500 0.0000 0.6632  5 Zr 2.82-2.98
Zr 0.5000 0.3333 0.6666  8 Zr 2.98-3.21, 6 Al 3.19
Sc 0.5000 0.0000 0.0000  2 Sc 2.98, 6 Zr 3.19, 6 Al 3.23
Zr 0.5000 0.6667 0.3334  8 Zr 2.98-3.21, 6 Al 3.19
Sc 0.0000 0.0000 0.0000  2 Sc 2.98, 6 Zr 3.19, 6 Al 3.23
Al 0.2500 0.3368 0.0000  5 Zr 2.82-2.98
Zr 0.2500 0.3318 0.3318  5 Al 2.82-2.98
Zr 0.7500 0.0000 0.3318  5 Al 2.82-2.98
Al 0.7500 0.3368 0.3368  5 Zr 2.82-2.98
Zr 0.7500 0.6682 0.6682  5 Al 2.82-2.98
Al 0.7500 0.6632 0.0000  5 Zr 2.82-2.98
Zr 0.2500 0.0000 0.6682  5 Al 2.82-2.98
Zr 0.2500 0.6682 0.0000  5 Al 2.82-2.98
Zr 0.0000 0.3333 0.6666  8 Zr 2.98-3.21, 6 Al 3.19
Zr 0.7500 0.3318 0.0000  5 Al 2.82-2.98

Results
Fermi-level density of states in states/eV/cell: 15.88
E_tot in eV for the cell shown: -126.9
Crystal system: hexagonal
Formation enthalpy at 0 K in kJ/mol of atoms: -33.7



# 6
Below is a geometry-optimized Ba3Pd2Pb4 structure, with properties calculated at the PBE-GGA level.

a = 5.0723 Å, b = 6.6782 Å, c = 9.9764 Å
α = 69.99°, β = 75.27°, γ = 67.68°
Last column: nearest neighbours and their distance in Å.
Fractional coordinates of all 9 atoms:
Pb 0.7402 0.6176 0.9020  1 Pd 2.89
Ba 0.0000 0.0000 0.0000  8 Pb 3.37-3.76, 4 Pd 3.59
Pb 0.0207 0.3064 0.6522  2 Pd 2.89
Ba 0.6788 0.2718 0.3706  3 Pd 3.32-3.63, 5 Pb 3.58-3.64
Pd 0.4042 0.9193 0.2723  3 Pb 2.89
Ba 0.3212 0.7282 0.6294  3 Pd 3.32-3.63, 5 Pb 3.58-3.64
Pb 0.2598 0.3824 0.0980  1 Pd 2.89
Pb 0.9793 0.6936 0.3478  2 Pd 2.89
Pd 0.5958 0.0807 0.7277  3 Pb 2.89

Results
Fermi-level density of states in states/eV/cell: 2.34
E_tot in eV for the cell shown: -35.7
Crystal system: monoclinic
Formation enthalpy at 0 K in kJ/mol of atoms: -50.9
Energy relative to the lowest polymorph listed for this composition in eV/f.u.: 0.02



# 7
Below is a geometry-optimized CdSeN2F structure, with properties calculated at the PBE-GGA level.

a = 3.9320 Å, b = 3.9320 Å, c = 4.2030 Å
α = 90.00°, β = 90.00°, γ = 90.00°
Last column: nearest neighbours and their distance in Å.
Fractional coordinates of all 5 atoms:
F 0.0000 0.0000 0.5000  2 Se 2.10
Se 0.0000 0.0000 0.0000  4 N 1.97, 2 F 2.10
Cd 0.5000 0.5000 0.5000  4 F 2.78, 8 N 2.88
N 0.0000 0.5000 0.0000  2 Se 1.97
N 0.5000 0.0000 0.0000  2 Se 1.97

Results
Fermi-level density of states in states/eV/cell: 1.31
E_tot in eV for the cell shown: -19.0
Crystal system: tetragonal
Energy relative to the lowest polymorph listed for this composition in eV/f.u.: 0.00
Formation energy (no corrections) in eV per atom: 0.789



# 8
Below is a geometry-optimized VMoS2N structure, with properties calculated at the PBE-GGA level.

a = 4.8099 Å, b = 4.8099 Å, c = 3.7688 Å
α = 90.00°, β = 90.00°, γ = 90.00°
Last column: nearest neighbours and their distance in Å.
Fractional coordinates of all 5 atoms:
Mo 0.0000 0.0000 0.0000  2 N 1.88
V 0.5000 0.5000 0.5000  8 S 3.06, 4 N 3.40
S 0.5000 0.0000 0.0000  2 Mo 2.40
S 0.0000 0.5000 0.0000  2 Mo 2.40
N 0.0000 0.0000 0.5000  2 Mo 1.88

Results
Fermi-level density of states in states/eV/cell: 5.62
E_tot in eV for the cell shown: -35.2
Crystal system: tetragonal
Energy relative to the lowest polymorph listed for this composition in eV/f.u.: 0.00
Formation energy (no corrections) in eV per atom: 0.257



# 9
Below is a geometry-optimized In2RhPb structure, with properties calculated at the PBE-GGA level.

a = 3.2841 Å, b = 3.2841 Å, c = 8.6603 Å
α = 90.00°, β = 90.00°, γ = 90.00°
Last column: nearest neighbours and their distance in Å.
Fractional coordinates of all 4 atoms:
Rh 0.5000 0.5000 0.7669  4 In 2.80, 4 Pb 2.96
In 0.0000 0.0000 0.9468  4 Rh 2.80
Pb 0.0000 0.0000 0.5545  4 Rh 2.96, 4 Pb 3.28
In 0.5000 0.5000 0.2318  8 In 3.28-3.39, 4 Pb 3.63

Results
Fermi-level density of states in states/eV/cell: 2.80
E_tot in eV for the cell shown: -16.8
Crystal system: tetragonal
Formation enthalpy at 0 K in kJ/mol of atoms: -6.9



# 10
Below is a geometry-optimized Ho4Tm3In structure, with properties calculated at the PBE-GGA level.

a = 11.1108 Å, b = 8.2238 Å, c = 6.9518 Å
α = 90.00°, β = 90.00°, γ = 132.29°
Last column: nearest neighbours and their distance in Å.
Fractional coordinates of all 16 atoms:
Tm 0.8546 0.8433 0.0000  1 In 3.36, 7 Ho 3.43-3.48, 4 Tm 3.53-3.54
Ho 0.8585 0.8241 0.5000  7 Tm 3.39-3.48, 5 Ho 3.48-3.57
Ho 0.1040 0.3375 0.2514  3 Tm 3.33-3.56, 7 Ho 3.41-3.61, 2 In 3.43-3.50
Tm 0.6096 0.3334 0.2424  2 In 3.35-3.51, 5 Ho 3.36-3.49, 5 Tm 3.37-3.58
Tm 0.0240 0.6621 0.7516  5 Ho 3.33-3.60, 5 Tm 3.43-3.54, 2 In 3.44-3.48
Ho 0.1040 0.3375 0.7486  3 Tm 3.33-3.56, 7 Ho 3.41-3.61, 2 In 3.43-3.50
Tm 0.2745 0.1549 0.5000  1 In 3.32, 7 Ho 3.44-3.56, 4 Tm 3.45-3.47
Ho 0.5199 0.6668 0.2583  7 Ho 3.36-3.59, 2 In 3.36-3.53, 3 Tm 3.45-3.54
Ho 0.5199 0.6668 0.7417  7 Ho 3.36-3.59, 2 In 3.36-3.53, 3 Tm 3.45-3.54
Ho 0.7591 0.1456 0.5000  3 In 3.31-3.48, 5 Ho 3.36-3.48, 4 Tm 3.44-3.60
In 0.3598 0.8374 0.5000  7 Ho 3.31-3.50, 5 Tm 3.32-3.51
Ho 0.2693 0.1728 0.0000  5 Ho 3.41-3.50, 7 Tm 3.43-3.56
Tm 0.6096 0.3334 0.7576  2 In 3.35-3.51, 5 Ho 3.36-3.49, 5 Tm 3.37-3.58
Tm 0.0240 0.6621 0.2484  5 Ho 3.33-3.60, 5 Tm 3.43-3.54, 2 In 3.44-3.48
In 0.7700 0.1662 0.0000  7 Ho 3.32-3.53, 5 Tm 3.35-3.48
Ho 0.3697 0.8559 0.0000  3 In 3.32-3.48, 4 Tm 3.36-3.47, 5 Ho 3.45-3.61

Results
Fermi-level density of states in states/eV/cell: 21.26
E_tot in eV for the cell shown: -70.8
Crystal system: monoclinic
Formation enthalpy at 0 K in kJ/mol of atoms: -11.3
Energy relative to the lowest polymorph listed for this composition in eV/f.u.: 0.00



# 11
Below is a geometry-optimized V4Pt2Pb structure, with properties calculated at the PBE-GGA level.

a = 4.9347 Å, b = 4.9347 Å, c = 7.3156 Å
α = 70.29°, β = 70.29°, γ = 90.00°
Last column: nearest neighbours and their distance in Å.
Fractional coordinates of all 7 atoms:
Pb 0.0000 0.0000 0.0000  6 V 2.47-2.71
Pt 0.3969 0.3969 0.2062  1 V 2.39, 1 Pt 2.65
V 0.0000 0.5000 0.0000  2 Pb 2.47
V 0.7890 0.7890 0.4220  1 Pt 2.39
Pt 0.6031 0.6031 0.7938  1 V 2.39, 1 Pt 2.65
V 0.5000 0.0000 0.0000  2 Pb 2.47
V 0.2110 0.2110 0.5780  1 Pt 2.39

Results
Fermi-level density of states in states/eV/cell: 15.70
E_tot in eV for the cell shown: -44.4
Crystal system: tetragonal
Formation enthalpy at 0 K in kJ/mol of atoms: 109.0



# 12
Below is a geometry-optimized LiCo2TeRu structure, with properties calculated at the PBE-GGA level.

a = 3.9726 Å, b = 4.4822 Å, c = 3.9726 Å
α = 90.00°, β = 90.00°, γ = 90.00°
Last column: nearest neighbours and their distance in Å.
Fractional coordinates of all 5 atoms:
Te 0.0000 0.5000 0.0000  2 Li 2.24
Li 0.0000 0.0000 0.0000  4 Co 1.99
Co 0.5000 0.0000 0.0000  2 Li 1.99
Co 0.0000 0.0000 0.5000  2 Li 1.99
Ru 0.5000 0.5000 0.5000  4 Te 2.81, 8 Co 2.99

Results
Fermi-level density of states in states/eV/cell: 7.40
E_tot in eV for the cell shown: -23.4
Crystal system: tetragonal
Formation energy (no corrections) in eV per atom: 1.032



> Which of these has the lowest E_tot?

Zr5ScAl3



> The highest E_tot belongs to which entry?

SrAg4



> What is the Fermi-level density of states in the tenth record?

21.26 states/eV/cell